No. 1
SbTeI3: single point on PBEsol structure, meta-GGA SCAN.

Results
ρ: 5.127 g/cm³
Raw total energy: -183.534 eV per cell

Cell and atoms, written as CIF:
```
data_SbTeI3
_chemical_formula_sum 'Sb1 Te1 I3'
_symmetry_space_group_name_H-M 'P 1'
_symmetry_Int_Tables_number 1
_cell_length_a 5.887
_cell_length_b 5.887
_cell_length_c 5.887
_cell_angle_alpha 90.00
_cell_angle_beta 90.00
_cell_angle_gamma 90.00
loop_
_symmetry_equiv_pos_as_xyz
'x,y,z'
loop_
_atom_site_label
_atom_site_type_symbol
_atom_site_fract_x
_atom_site_fract_y
_atom_site_fract_z
_atom_site_occupancy
Sb1 Sb 0.000 0.000 0.000 1
Te1 Te 0.500 0.500 0.500 1
I1 I 0.000 0.000 0.500 1
I2 I 0.000 0.500 0.000 1
I3 I 0.500 0.000 0.000 1
```



No. 2
SbTeI: single point on PBEsol structure, meta-GGA SCAN.

Results
ρ: 6.077 g/cm³
Raw total energy: -223.647 eV per cell

Cell and atoms, written as CIF:
```
data_SbTeI
_chemical_formula_sum 'Sb2 Te2 I2'
_symmetry_space_group_name_H-M 'P 1'
_symmetry_Int_Tables_number 1
_cell_length_a 7.187
_cell_length_b 7.187
_cell_length_c 9.154
_cell_angle_alpha 126.99
_cell_angle_beta 126.99
_cell_angle_gamma 34.02
loop_
_symmetry_equiv_pos_as_xyz
'x,y,z'
loop_
_atom_site_label
_atom_site_type_symbol
_atom_site_fract_x
_atom_site_fract_y
_atom_site_fract_z
_atom_site_occupancy
Sb1 Sb 0.132 0.132 0.249 1
Sb2 Sb 0.868 0.868 0.751 1
Te1 Te 0.174 0.174 0.597 1
Te2 Te 0.826 0.826 0.403 1
I1 I 0.419 0.419 0.133 1
I2 I 0.581 0.581 0.867 1
```



No. 3
TiSbTe2I: single point on PBEsol structure, meta-GGA SCAN.

Results
ρ: 5.075 g/cm³
Raw total energy: -159.015 eV per cell

Cell and atoms, written as CIF:
```
data_TiSbTe2I
_chemical_formula_sum 'Ti1 Sb1 Te2 I1'
_symmetry_space_group_name_H-M 'P 1'
_symmetry_Int_Tables_number 1
_cell_length_a 5.656
_cell_length_b 5.656
_cell_length_c 5.642
_cell_angle_alpha 90.00
_cell_angle_beta 90.00
_cell_angle_gamma 90.00
loop_
_symmetry_equiv_pos_as_xyz
'x,y,z'
loop_
_atom_site_label
_atom_site_type_symbol
_atom_site_fract_x
_atom_site_fract_y
_atom_site_fract_z
_atom_site_occupancy
Ti1 Ti 0.000 0.000 0.000 1
Sb1 Sb 0.500 0.500 0.000 1
Te1 Te 0.000 0.500 0.500 1
Te2 Te 0.500 0.000 0.500 1
I1 I 0.500 0.500 0.500 1
```



No. 4
Ti2SbTeI: single point on PBEsol structure, meta-GGA SCAN.

Results
ρ: 4.923 g/cm³
Raw total energy: -140.579 eV per cell

Cell and atoms, written as CIF:
```
data_Ti2SbTeI
_chemical_formula_sum 'Ti2 Sb1 Te1 I1'
_symmetry_space_group_name_H-M 'P 1'
_symmetry_Int_Tables_number 1
_cell_length_a 5.363
_cell_length_b 5.363
_cell_length_c 5.536
_cell_angle_alpha 90.00
_cell_angle_beta 90.00
_cell_angle_gamma 90.00
loop_
_symmetry_equiv_pos_as_xyz
'x,y,z'
loop_
_atom_site_label
_atom_site_type_symbol
_atom_site_fract_x
_atom_site_fract_y
_atom_site_fract_z
_atom_site_occupancy
Ti1 Ti 0.000 0.500 0.000 1
Ti2 Ti 0.500 0.000 0.000 1
Sb1 Sb 0.000 0.000 0.000 1
Te1 Te 0.000 0.000 0.500 1
I1 I 0.500 0.500 0.500 1
```



No. 5
YSbTeI2: single point on PBEsol structure, meta-GGA SCAN.

Results
ρ: 4.968 g/cm³
Raw total energy: -177.090 eV per cell

Cell and atoms, written as CIF:
```
data_YSbTeI2
_chemical_formula_sum 'Y1 Sb1 Te1 I2'
_symmetry_space_group_name_H-M 'P 1'
_symmetry_Int_Tables_number 1
_cell_length_a 5.638
_cell_length_b 5.638
_cell_length_c 6.227
_cell_angle_alpha 90.00
_cell_angle_beta 90.00
_cell_angle_gamma 90.00
loop_
_symmetry_equiv_pos_as_xyz
'x,y,z'
loop_
_atom_site_label
_atom_site_type_symbol
_atom_site_fract_x
_atom_site_fract_y
_atom_site_fract_z
_atom_site_occupancy
Y1 Y 0.000 0.000 0.000 1
Sb1 Sb 0.000 0.000 0.500 1
Te1 Te 0.500 0.500 0.500 1
I1 I 0.000 0.500 0.000 1
I2 I 0.500 0.000 0.000 1
```



No. 6
ZrSbTeI2: single point on PBEsol structure, meta-GGA SCAN.

Results
ρ: 5.227 g/cm³
Raw total energy: -175.783 eV per cell

Cell and atoms, written as CIF:
```
data_ZrSbTeI2
_chemical_formula_sum 'Zr1 Sb1 Te1 I2'
_symmetry_space_group_name_H-M 'P 1'
_symmetry_Int_Tables_number 1
_cell_length_a 5.746
_cell_length_b 5.746
_cell_length_c 5.720
_cell_angle_alpha 90.00
_cell_angle_beta 90.00
_cell_angle_gamma 90.00
loop_
_symmetry_equiv_pos_as_xyz
'x,y,z'
loop_
_atom_site_label
_atom_site_type_symbol
_atom_site_fract_x
_atom_site_fract_y
_atom_site_fract_z
_atom_site_occupancy
Zr1 Zr 0.000 0.000 0.000 1
Sb1 Sb 0.500 0.500 0.500 1
Te1 Te 0.500 0.500 0.000 1
I1 I 0.000 0.500 0.500 1
I2 I 0.500 0.000 0.500 1
```



No. 7
Tl2Sb2I: single point on PBEsol structure, meta-GGA SCAN.

Results
ρ: 7.738 g/cm³
Raw total energy: -256.907 eV per cell

Cell and atoms, written as CIF:
```
data_Tl2Sb2I
_chemical_formula_sum 'Tl2 Sb2 I1'
_symmetry_space_group_name_H-M 'P 1'
_symmetry_Int_Tables_number 1
_cell_length_a 9.807
_cell_length_b 9.807
_cell_length_c 9.807
_cell_angle_alpha 155.08
_cell_angle_beta 155.08
_cell_angle_gamma 35.53
loop_
_symmetry_equiv_pos_as_xyz
'x,y,z'
loop_
_atom_site_label
_atom_site_type_symbol
_atom_site_fract_x
_atom_site_fract_y
_atom_site_fract_z
_atom_site_occupancy
Tl1 Tl 0.099 0.099 0.000 1
Tl2 Tl 0.901 0.901 0.000 1
Sb1 Sb 0.250 0.750 0.500 1
Sb2 Sb 0.750 0.250 0.500 1
I1 I 0.500 0.500 0.000 1
```



No. 8
YTlSbI2: single point on PBEsol structure, meta-GGA SCAN.

Results
ρ: 5.881 g/cm³
Raw total energy: -209.988 eV per cell

Cell and atoms, written as CIF:
```
data_YTlSbI2
_chemical_formula_sum 'Y1 Tl1 Sb1 I2'
_symmetry_space_group_name_H-M 'P 1'
_symmetry_Int_Tables_number 1
_cell_length_a 5.774
_cell_length_b 5.774
_cell_length_c 5.666
_cell_angle_alpha 90.00
_cell_angle_beta 90.00
_cell_angle_gamma 90.00
loop_
_symmetry_equiv_pos_as_xyz
'x,y,z'
loop_
_atom_site_label
_atom_site_type_symbol
_atom_site_fract_x
_atom_site_fract_y
_atom_site_fract_z
_atom_site_occupancy
Y1 Y 0.000 0.000 0.000 1
Tl1 Tl 0.500 0.500 0.500 1
Sb1 Sb 0.500 0.500 0.000 1
I1 I 0.000 0.500 0.500 1
I2 I 0.500 0.000 0.500 1
```



Number 1: volume 204.1 Å³/cell. Number 2: volume 205.6 Å³/cell. Number 3: volume 180.5 Å³/cell. Number 4: volume 159.2 Å³/cell. Number 5: volume 197.9 Å³/cell. Number 6: volume 188.8 Å³/cell. Number 7: volume 167.2 Å³/cell. Number 8: volume 188.9 Å³/cell.